(1)
VASP calculation (PBE-GGA) on a relaxed structure of ZnIn2Ag2.

POSCAR file:
```
ZnIn2Ag2
1.0
7.059 0.000 0.000
0.000 7.059 0.000
0.000 0.000 4.308
In Zn Ag
4 2 4
direct
0.163 0.663 0.500
0.837 0.337 0.500
0.337 0.163 0.500
0.663 0.837 0.500
0.000 0.000 0.000
0.500 0.500 0.000
0.145 0.355 0.000
0.355 0.855 0.000
0.645 0.145 0.000
0.855 0.645 0.000
```

## Properties
electronic total energy = -24.05 eV per cell
density of states at the Fermi level = 4.3 states/eV/cell
DFT formation energy = 0.085 eV/atom
offset from the most stable computed form = 61 meV/atom

***

(2)
VASP calculation (PBE-GGA) on a relaxed structure of Zn2InAg.

POSCAR file:
```
Zn2InAg
1.0
4.740 0.083 0.000
-1.537 4.485 0.000
0.000 0.000 3.490
Ag Zn In
1 2 1
direct
0.500 0.000 0.500
0.000 0.000 0.000
0.500 0.500 0.000
0.000 0.500 0.500
```

## Properties
electronic total energy = -7.89 eV per cell
density of states at the Fermi level = 0.7 states/eV/cell
DFT formation energy = 0.061 eV/atom

***

(3)
VASP calculation (PBE-GGA) on a relaxed structure of ZnInAg3.

POSCAR file:
```
ZnInAg3
1.0
6.669 0.726 0.956
-3.063 3.926 -1.469
-2.711 -2.876 6.680
Ag In Zn
6 2 2
direct
0.041 0.927 0.804
0.518 0.216 0.383
0.545 0.847 0.617
0.045 0.351 0.618
0.018 0.712 0.382
0.022 0.137 0.196
0.536 0.649 0.215
0.527 0.414 0.785
0.032 0.531 0.000
0.532 0.032 0.000
```

## Properties
electronic total energy = -25.15 eV per cell
density of states at the Fermi level = 2.1 states/eV/cell
DFT formation energy = -0.002 eV/atom
offset from the most stable computed form = 11 meV/atom

***

(4)
VASP calculation (PBE-GGA) on a relaxed structure of Zn2In2Ag.

POSCAR file:
```
Zn2In2Ag
1.0
-3.636 0.150 -2.129
-0.669 -4.074 0.855
-5.162 -0.365 4.617
Ag Zn In
1 2 2
direct
0.000 0.000 0.000
0.405 0.405 0.189
0.595 0.595 0.811
0.750 0.250 0.500
0.250 0.750 0.500
```

## Properties
electronic total energy = -9.61 eV per cell
density of states at the Fermi level = 2.0 states/eV/cell
DFT formation energy = 0.252 eV/atom
offset from the most stable computed form = 198 meV/atom

***

(5)
VASP calculation (PBE-GGA) on a relaxed structure of Zn2InAg.

POSCAR file:
```
Zn2InAg
1.0
4.808 0.000 0.000
0.000 3.094 -0.241
0.000 0.397 4.923
Ag In Zn
1 1 2
direct
0.000 0.372 0.520
0.500 0.874 0.717
0.000 0.876 0.053
0.500 0.377 0.210
```

## Properties
electronic total energy = -7.88 eV per cell
density of states at the Fermi level = 1.0 states/eV/cell
DFT formation energy = 0.065 eV/atom

***

(6)
VASP calculation (PBE-GGA) on a relaxed structure of ZnIn2Ag8.

POSCAR file:
```
ZnIn2Ag8
1.0
-2.959 -3.377 2.332
4.074 -2.523 5.137
-2.822 3.638 5.306
Ag Zn In
8 1 2
direct
0.294 0.432 0.432
0.891 0.273 0.273
0.109 0.727 0.727
0.187 0.325 0.840
0.706 0.568 0.568
0.187 0.840 0.325
0.813 0.160 0.675
0.813 0.675 0.160
0.000 0.000 0.000
0.466 0.154 0.154
0.534 0.846 0.846
```

## Properties
electronic total energy = -27.89 eV per cell
density of states at the Fermi level = 4.7 states/eV/cell
DFT formation energy = 0.152 eV/atom
offset from the most stable computed form = 166 meV/atom

***

(7)
VASP calculation (PBE-GGA) on a relaxed structure of Zn3In2Ag5.

POSCAR file:
```
Zn3In2Ag5
1.0
5.446 0.116 -0.440
-0.847 8.113 -1.973
0.167 -0.133 8.390
In Ag Zn
4 10 6
direct
0.397 0.143 0.614
0.103 0.386 0.857
0.603 0.857 0.386
0.897 0.614 0.143
0.250 0.475 0.525
0.996 0.724 0.804
0.004 0.276 0.196
0.905 0.041 0.727
0.095 0.959 0.273
0.504 0.196 0.276
0.750 0.525 0.475
0.595 0.273 0.959
0.405 0.727 0.041
0.496 0.804 0.724
0.102 0.781 0.504
0.250 0.020 0.980
0.602 0.504 0.781
0.750 0.980 0.020
0.398 0.496 0.219
0.898 0.219 0.496
```

## Properties
electronic total energy = -46.74 eV per cell
density of states at the Fermi level = 4.1 states/eV/cell
DFT formation energy = 0.018 eV/atom

***

(8)
VASP calculation (PBE-GGA) on a relaxed structure of Zn2InAg.

POSCAR file:
```
Zn2InAg
1.0
-2.210 2.950 3.284
-1.700 -2.403 1.014
3.694 -0.782 3.188
Ag Zn In
1 2 1
direct
0.500 0.250 0.250
0.000 0.514 0.485
0.000 0.986 0.015
0.500 0.750 0.750
```

## Properties
electronic total energy = -7.86 eV per cell
density of states at the Fermi level = 0.8 states/eV/cell
DFT formation energy = 0.069 eV/atom

***

(9)
VASP calculation (PBE-GGA) on a relaxed structure of Zn4InAg3.

POSCAR file:
```
Zn4InAg3
1.0
-3.267 3.408 1.540
1.090 -1.546 5.733
6.684 6.223 0.408
Zn Ag In
8 6 2
direct
0.163 0.233 0.750
0.500 0.765 0.500
0.837 0.767 0.250
0.163 0.767 0.750
0.500 0.765 0.000
0.500 0.235 0.500
0.500 0.235 0.000
0.837 0.233 0.250
0.370 0.500 0.250
0.650 0.000 0.750
0.000 0.000 0.000
0.630 0.500 0.750
0.000 0.000 0.500
0.350 0.000 0.250
0.000 0.500 0.500
0.000 0.500 0.000
```

## Properties
electronic total energy = -32.57 eV per cell
density of states at the Fermi level = 2.7 states/eV/cell
DFT formation energy = 0.013 eV/atom
offset from the most stable computed form = 0 meV/atom

***

(10)
VASP calculation (PBE-GGA) on a relaxed structure of ZnInAg3.

POSCAR file:
```
ZnInAg3
1.0
5.042 0.282 1.271
1.454 4.959 0.758
-0.007 0.678 7.505
Zn In Ag
2 2 6
direct
0.304 0.384 0.050
0.107 0.805 0.565
0.595 0.301 0.622
0.816 0.888 0.992
0.675 0.828 0.410
0.166 0.319 0.422
0.245 0.870 0.193
0.989 0.375 0.814
0.736 0.361 0.204
0.422 0.814 0.800
```

## Properties
electronic total energy = -25.26 eV per cell
density of states at the Fermi level = 1.4 states/eV/cell
DFT formation energy = -0.013 eV/atom
offset from the most stable computed form = 0 meV/atom

***

(11)
VASP calculation (PBE-GGA) on a relaxed structure of Zn6InAg5.

POSCAR file:
```
Zn6InAg5
1.0
4.070 0.063 -1.097
-2.834 6.551 -2.569
0.007 -0.100 7.585
Ag Zn In
5 6 1
direct
0.500 0.166 0.834
0.500 0.834 0.166
0.000 0.667 0.333
0.500 0.500 0.500
0.000 0.333 0.667
0.766 0.264 0.264
0.234 0.736 0.736
0.259 0.086 0.427
0.259 0.427 0.086
0.741 0.573 0.914
0.741 0.914 0.573
0.000 0.000 0.000
```

## Properties
electronic total energy = -24.56 eV per cell
density of states at the Fermi level = 1.7 states/eV/cell
DFT formation energy = 0.007 eV/atom
offset from the most stable computed form = 2 meV/atom

***

(12)
VASP calculation (PBE-GGA) on a relaxed structure of Zn2InAg3.

POSCAR file:
```
Zn2InAg3
1.0
-3.792 -2.822 1.911
1.242 -5.329 -5.403
2.777 1.071 7.091
Zn Ag In
4 6 2
direct
0.500 0.764 0.764
0.500 0.236 0.236
0.000 0.764 0.764
0.000 0.236 0.236
0.750 0.575 0.925
0.750 0.075 0.425
0.250 0.425 0.075
0.250 0.854 0.146
0.250 0.925 0.575
0.750 0.146 0.854
0.750 0.649 0.351
0.250 0.351 0.649
```

## Properties
electronic total energy = -27.25 eV per cell
density of states at the Fermi level = 4.0 states/eV/cell
DFT formation energy = 0.036 eV/atom
offset from the most stable computed form = 37 meV/atom